No. 1
The following is a DFT calculation (PBE-GGA) of crystalline LaScCdC2 at its relaxed geometry.

space group = P4/mmm, No. 123
formation energy = 94.65 kJ/mol of atoms

Geometry as extended XYZ:
```
5
Lattice="4.453 0.000 0.000 0.000 5.026 0.000 0.000 0.000 4.453" Properties=species:S:1:pos:R:3 pbc="T T T"
C 2.227 0.000 0.000
Sc 0.000 0.000 0.000
C 0.000 0.000 2.227
La 2.227 2.513 2.227
Cd 0.000 2.513 0.000
```

***

No. 2
The following is a DFT calculation (PBE-GGA) of crystalline LaTaCdC2 at its relaxed geometry.

space group = P4/mmm, No. 123
formation energy = 130.24 kJ/mol of atoms

Geometry as extended XYZ:
```
5
Lattice="-3.673 -0.183 -2.343 3.065 -0.022 -4.803 0.145 -4.356 0.112" Properties=species:S:1:pos:R:3 pbc="T T T"
Cd -0.231 -2.280 -3.517
La 1.533 -0.011 -2.402
Ta 0.000 0.000 0.000
C 0.072 -2.178 0.056
C -1.836 -0.091 -1.171
```

***

No. 3
The following is a DFT calculation (PBE-GGA) of crystalline LaTa2CdC at its relaxed geometry.

space group = P4/mmm, No. 123
formation energy = 269.75 kJ/mol of atoms

Geometry as extended XYZ:
```
5
Lattice="-2.984 -3.704 1.583 1.356 -3.120 -4.746 3.856 -2.058 2.455" Properties=species:S:1:pos:R:3 pbc="T T T"
La 0.678 -1.560 -2.373
C 1.114 -4.441 -0.354
Ta -1.492 -1.852 0.791
Ta 1.928 -1.029 1.227
Cd 0.000 0.000 0.000
```

***

No. 4
The following is a DFT calculation (PBE-GGA) of crystalline La2CdTcC at its relaxed geometry.

space group = P4/mmm, No. 123
formation energy = -17.61 kJ/mol of atoms

Geometry as extended XYZ:
```
5
Lattice="-1.000 -2.551 -4.630 4.674 1.774 -1.987 1.848 -3.288 1.412" Properties=species:S:1:pos:R:3 pbc="T T T"
La 2.337 0.887 -0.994
Cd 2.761 -2.032 -2.603
C 0.000 0.000 0.000
Tc 0.924 -1.644 0.706
La -0.500 -1.275 -2.315
```

***

No. 5
The following is a DFT calculation (PBE-GGA) of crystalline La2TiCdC at its relaxed geometry.

space group = P4/mmm, No. 123
formation energy = -17.84 kJ/mol of atoms

Geometry as extended XYZ:
```
5
Lattice="5.412 0.000 0.000 0.000 5.412 0.000 0.000 0.000 4.182" Properties=species:S:1:pos:R:3 pbc="T T T"
La 2.706 0.000 0.000
Ti 0.000 0.000 2.091
C 0.000 0.000 0.000
La 0.000 2.706 0.000
Cd 2.706 2.706 2.091
```

***

No. 6
The following is a DFT calculation (PBE-GGA) of crystalline La2TmCdC at its relaxed geometry.

space group = P4/mmm, No. 123
formation energy = -20.97 kJ/mol of atoms

Geometry as extended XYZ:
```
5
Lattice="-3.472 -2.771 1.817 2.682 -4.328 -1.474 2.490 -0.051 4.679" Properties=species:S:1:pos:R:3 pbc="T T T"
C 0.000 0.000 0.000
Cd 0.850 -3.575 2.511
La 1.245 -0.025 2.340
Tm -1.736 -1.385 0.909
La 1.341 -2.164 -0.737
```

***

No. 7
The following is a DFT calculation (PBE-GGA) of crystalline La2VCdC at its relaxed geometry.

energy above the lowest structure with this stoichiometry = 0.000 eV per formula unit
space group = P4/mmm, No. 123
formation energy = -12.82 kJ/mol of atoms

Geometry as extended XYZ:
```
5
Lattice="-5.305 -1.110 -0.079 1.110 -5.251 -0.758 0.059 -0.566 4.004" Properties=species:S:1:pos:R:3 pbc="T T T"
Cd -2.068 -3.464 1.583
V 0.029 -0.283 2.002
La -2.653 -0.555 -0.040
C 0.000 0.000 0.000
La 0.555 -2.626 -0.379
```

***

No. 8
The following is a DFT calculation (PBE-GGA) of crystalline La2VCdC at its relaxed geometry.

energy above the lowest structure with this stoichiometry = 3.082 eV per formula unit
space group = P4/mmm, No. 123
formation energy = 46.66 kJ/mol of atoms

Geometry as extended XYZ:
```
5
Lattice="-4.350 3.376 0.118 -0.293 -0.514 3.930 3.354 4.293 0.812" Properties=species:S:1:pos:R:3 pbc="T T T"
Cd -0.645 3.577 2.430
La 1.677 2.147 0.406
La -2.175 1.688 0.059
V 0.000 0.000 0.000
C -0.146 -0.257 1.965
```

***

No. 9
The following is a DFT calculation (PBE-GGA) of crystalline La2ZrCdC at its relaxed geometry.

space group = P4/mmm, No. 123
formation energy = -16.57 kJ/mol of atoms

Geometry as extended XYZ:
```
5
Lattice="-3.589 3.907 -0.637 -3.373 -2.568 3.251 1.752 2.188 3.546" Properties=species:S:1:pos:R:3 pbc="T T T"
C 0.000 0.000 0.000
Cd -2.605 1.763 3.080
La -1.794 1.953 -0.319
La -1.687 -1.284 1.626
Zr 0.876 1.094 1.773
```

***

No. 10
The following is a DFT calculation (PBE-GGA) of crystalline LiCdC3 at its relaxed geometry.

energy above the lowest structure with this stoichiometry = 1.649 eV per formula unit
space group = Pm-3m, No. 221
formation energy = 295.67 kJ/mol of atoms

Geometry as extended XYZ:
```
5
Lattice="4.355 0.000 0.000 0.000 4.355 0.000 0.000 0.000 4.355" Properties=species:S:1:pos:R:3 pbc="T T T"
C 2.177 0.000 0.000
Li 2.177 2.177 2.177
Cd 0.000 0.000 0.000
C 0.000 0.000 2.177
C 0.000 2.177 0.000
```

***

No. 11
The following is a DFT calculation (PBE-GGA) of crystalline LiCd3C at its relaxed geometry.

energy above the lowest structure with this stoichiometry = 3.940 eV per formula unit
space group = Pm-3m, No. 221
formation energy = 143.72 kJ/mol of atoms

Geometry as extended XYZ:
```
5
Lattice="4.854 0.000 0.000 0.000 4.854 0.000 0.000 0.000 4.854" Properties=species:S:1:pos:R:3 pbc="T T T"
Cd 0.000 0.000 2.427
Cd 2.427 0.000 0.000
Cd 0.000 2.427 0.000
Li 0.000 0.000 0.000
C 2.427 2.427 2.427
```

***

No. 12
The following is a DFT calculation (PBE-GGA) of crystalline Li3CdC at its relaxed geometry.

energy above the lowest structure with this stoichiometry = 5.282 eV per formula unit
space group = Pm-3m, No. 221
formation energy = 135.20 kJ/mol of atoms

Geometry as extended XYZ:
```
5
Lattice="4.931 0.000 0.000 0.000 4.931 0.000 0.000 0.000 4.931" Properties=species:S:1:pos:R:3 pbc="T T T"
Cd 0.000 0.000 0.000
Li 0.000 0.000 2.465
C 2.465 2.465 2.465
Li 2.465 0.000 0.000
Li 0.000 2.465 0.000
```

***

No. 13
The following is a DFT calculation (PBE-GGA) of crystalline LiCd3C at its relaxed geometry.

energy above the lowest structure with this stoichiometry = 0.000 eV per formula unit
space group = Pm-3m, No. 221
formation energy = 67.69 kJ/mol of atoms

Geometry as extended XYZ:
```
5
Lattice="-1.631 -3.330 2.853 3.349 -2.910 -1.482 2.829 1.526 3.399" Properties=species:S:1:pos:R:3 pbc="T T T"
C 0.000 0.000 0.000
Cd 1.675 -1.455 -0.741
Cd 1.415 0.763 1.699
Li 2.274 -2.357 2.385
Cd -0.816 -1.665 1.426
```

***

No. 14
The following is a DFT calculation (PBE-GGA) of crystalline Li3CdC at its relaxed geometry.

energy above the lowest structure with this stoichiometry = 0.000 eV per formula unit
space group = Pm-3m, No. 221
formation energy = 33.28 kJ/mol of atoms

Geometry as extended XYZ:
```
5
Lattice="-1.495 -0.165 -3.860 2.699 -3.006 -0.917 -2.765 -2.846 1.192" Properties=species:S:1:pos:R:3 pbc="T T T"
Li -1.382 -1.423 0.596
Cd -0.780 -3.008 -1.793
C 0.000 0.000 0.000
Li 1.349 -1.503 -0.459
Li -0.748 -0.082 -1.930
```

***

No. 15
The following is a DFT calculation (PBE-GGA) of crystalline LiCd2C at its relaxed geometry.

space group = I4_1/amd, No. 141
formation energy = 85.99 kJ/mol of atoms

Geometry as extended XYZ:
```
8
Lattice="-0.620 -4.475 -5.262 6.894 -0.737 -0.185 2.825 -6.326 0.477" Properties=species:S:1:pos:R:3 pbc="T T T"
C 0.000 0.000 0.000
Cd 2.434 -8.752 -4.270
Cd 4.472 -5.961 -4.603
Cd 1.026 -5.587 -4.506
Li 6.428 -4.835 -1.216
Li 3.137 -2.606 -2.724
Cd 2.751 -6.515 -1.639
C 2.671 -6.704 -3.754
```

***

No. 16
The following is a DFT calculation (PBE-GGA) of crystalline LiCdC3 at its relaxed geometry.

energy above the lowest structure with this stoichiometry = 0.000 eV per formula unit
space group = Pm-3m, No. 221
formation energy = 263.85 kJ/mol of atoms

Geometry as extended XYZ:
```
5
Lattice="-1.364 -0.908 3.455 -1.764 -3.045 -1.496 3.106 -2.128 0.668" Properties=species:S:1:pos:R:3 pbc="T T T"
Li 0.000 0.000 0.000
C -0.882 -1.522 -0.748
Cd -0.011 -3.040 1.313
C -0.682 -0.454 1.727
C 1.553 -1.064 0.334
```

***

No. 17
The following is a DFT calculation (PBE-GGA) of crystalline LiCdC at its relaxed geometry.

space group = F-43m, No. 216
formation energy = 77.26 kJ/mol of atoms

Geometry as extended XYZ:
```
3
Lattice="-3.768 0.477 0.690 -2.574 -0.667 -2.798 -2.328 -3.072 0.211" Properties=species:S:1:pos:R:3 pbc="T T T"
Cd 0.000 0.000 0.000
C -2.168 -0.816 -0.474
Li -4.335 -1.631 -0.949
```

***

No. 18
The following is a DFT calculation (PBE-GGA) of crystalline LiCdNi2C at its relaxed geometry.

space group = P4/mmm, No. 123
formation energy = 1.26 kJ/mol of atoms

Geometry as extended XYZ:
```
5
Lattice="-3.677 -0.223 -0.852 -0.033 -3.620 1.090 -0.964 1.169 3.855" Properties=species:S:1:pos:R:3 pbc="T T T"
Ni -1.838 -0.111 -0.426
C 0.000 0.000 0.000
Cd -2.337 -1.337 2.046
Ni -0.017 -1.810 0.545
Li -0.482 0.585 1.928
```

***

No. 19
The following is a DFT calculation (PBE-GGA) of crystalline LiCd2C2O6 at its relaxed geometry.

formation energy from raw total energies = -1.26 eV/atom
space group = R-3m, No. 166

Geometry as extended XYZ:
```
11
Lattice="-3.915 3.034 0.981 -3.970 -1.756 2.578 -0.130 2.049 6.139" Properties=species:S:1:pos:R:3 pbc="T T T"
Cd -1.736 1.006 2.956
C -4.672 1.232 3.532
O -3.954 1.114 6.763
O -5.832 1.430 4.086
O -4.061 2.213 2.936
O -4.086 0.077 3.649
Li 0.000 0.000 0.000
O -3.929 3.250 6.050
O -2.183 1.897 5.613
C -3.343 2.095 6.167
Cd -6.280 2.321 6.742
```

***

No. 20
The following is a DFT calculation (PBE-GGA) of crystalline LiCd2PbC at its relaxed geometry.

space group = P4/mmm, No. 123
formation energy = 66.92 kJ/mol of atoms

Geometry as extended XYZ:
```
5
Lattice="4.349 0.000 0.000 0.000 6.080 0.000 0.000 0.000 4.349" Properties=species:S:1:pos:R:3 pbc="T T T"
Pb 0.000 3.040 0.000
Cd 2.175 0.000 0.000
Li 2.175 3.040 2.175
Cd 0.000 0.000 2.175
C 0.000 0.000 0.000
```

***

No. 21
The following is a DFT calculation (PBE-GGA) of crystalline LiCdPbC2 at its relaxed geometry.

space group = P4/mmm, No. 123
formation energy = 199.75 kJ/mol of atoms

Geometry as extended XYZ:
```
5
Lattice="-3.074 -2.719 0.786 3.295 -3.426 1.037 -0.026 1.188 4.006" Properties=species:S:1:pos:R:3 pbc="T T T"
C -1.537 -1.360 0.393
Cd 0.098 -2.479 2.915
Pb 1.648 -1.713 0.519
Li 0.000 0.000 0.000
C -0.013 0.594 2.003
```

***

No. 22
The following is a DFT calculation (PBE-GGA) of crystalline Li2CdRhC at its relaxed geometry.

space group = P4/mmm, No. 123
formation energy = -0.72 kJ/mol of atoms

Geometry as extended XYZ:
```
5
Lattice="4.179 0.000 0.000 0.000 4.179 0.000 0.000 0.000 3.909" Properties=species:S:1:pos:R:3 pbc="T T T"
Li 2.089 0.000 0.000
Rh 0.000 0.000 1.954
Cd 2.089 2.089 1.954
C 0.000 0.000 0.000
Li 0.000 2.089 0.000
```

***

No. 23
The following is a DFT calculation (PBE-GGA) of crystalline LiCdRu2C at its relaxed geometry.

space group = P4/mmm, No. 123
formation energy = 9.79 kJ/mol of atoms

Geometry as extended XYZ:
```
5
Lattice="-3.106 0.107 2.538 -0.672 -3.901 -0.658 2.608 -0.994 3.233" Properties=species:S:1:pos:R:3 pbc="T T T"
Ru -1.553 0.053 1.269
Ru -0.336 -1.951 -0.329
Cd -0.585 -2.394 2.557
C 0.000 0.000 0.000
Li 1.304 -0.497 1.616
```

***

No. 24
The following is a DFT calculation (PBE-GGA) of crystalline LiSc2CdC at its relaxed geometry.

space group = P4/mmm, No. 123
formation energy = -20.41 kJ/mol of atoms

Geometry as extended XYZ:
```
5
Lattice="4.505 0.000 0.000 0.000 4.505 0.000 0.000 0.000 4.429" Properties=species:S:1:pos:R:3 pbc="T T T"
Li 0.000 0.000 2.215
Cd 2.253 2.253 2.215
C 0.000 0.000 0.000
Sc 2.253 0.000 0.000
Sc 0.000 2.253 0.000
```

***

No. 25
The following is a DFT calculation (PBE-GGA) of crystalline LiScCd2C at its relaxed geometry.

space group = P4/mmm, No. 123
formation energy = 24.86 kJ/mol of atoms

Geometry as extended XYZ:
```
5
Lattice="4.661 0.000 0.000 0.000 4.410 0.000 0.000 0.000 4.661" Properties=species:S:1:pos:R:3 pbc="T T T"
Li 2.330 2.205 2.330
Cd 0.000 0.000 2.330
Sc 0.000 2.205 0.000
Cd 2.330 0.000 0.000
C 0.000 0.000 0.000
```

***

No. 26
The following is a DFT calculation (PBE-GGA) of crystalline LiTi2CdC at its relaxed geometry.

space group = P4/mmm, No. 123
formation energy = -15.50 kJ/mol of atoms

Geometry as extended XYZ:
```
5
Lattice="-3.498 2.173 0.804 -0.943 -0.005 -4.089 -2.153 -3.651 0.500" Properties=species:S:1:pos:R:3 pbc="T T T"
Cd -3.297 -0.741 -1.392
Ti -0.471 -0.002 -2.044
Ti -1.749 1.087 0.402
C 0.000 0.000 0.000
Li -1.077 -1.825 0.250
```

***

No. 27
The following is a DFT calculation (PBE-GGA) of crystalline Li2TlCdC at its relaxed geometry.

space group = P4/mmm, No. 123
formation energy = 49.00 kJ/mol of atoms

Geometry as extended XYZ:
```
5
Lattice="4.391 0.000 0.000 0.000 4.822 0.000 0.000 0.000 4.391" Properties=species:S:1:pos:R:3 pbc="T T T"
C 0.000 0.000 0.000
Li 2.196 0.000 0.000
Cd 2.196 2.411 2.196
Tl 0.000 2.411 0.000
Li 0.000 0.000 2.196
```

***

No. 28
The following is a DFT calculation (PBE-GGA) of crystalline Lu4Cd2C at its relaxed geometry.

space group = I4/mmm, No. 139
formation energy = -20.18 kJ/mol of atoms

Geometry as extended XYZ:
```
7
Lattice="4.777 0.000 0.000 0.000 4.777 0.000 2.388 2.388 7.442" Properties=species:S:1:pos:R:3 pbc="T T T"
Cd 2.388 2.388 2.000
Cd 4.777 4.777 5.442
Lu 2.388 2.388 5.017
Lu 0.000 2.388 0.000
C 0.000 0.000 0.000
Lu 2.388 0.000 0.000
Lu 4.777 4.777 2.426
```

***

| no. | electronic total energy (eV per cell) |
| --- | --- |
| 1 | -25.7 |
| 2 | -29.4 |
| 3 | -24.8 |
| 4 | -31.3 |
| 5 | -28.8 |
| 6 | -25.6 |
| 7 | -29.8 |
| 8 | -26.7 |
| 9 | -29.4 |
| 10 | -15.2 |
| 11 | -6.4 |
| 12 | -8.9 |
| 13 | -10.4 |
| 14 | -14.2 |
| 15 | -18.8 |
| 16 | -16.8 |
| 17 | -9.7 |
| 18 | -23.6 |
| 19 | -65.7 |
| 20 | -13.2 |
| 21 | -14.6 |
| 22 | -21.4 |
| 23 | -30.1 |
| 24 | -25.8 |
| 25 | -18.0 |
| 26 | -28.6 |
| 27 | -13.8 |
| 28 | -30.6 |